No. 1
# Cd2Hg5Bi2Pb3

An optimized crystal structure of Cd2Hg5Bi2Pb3 (PBE, Alexandria via LeMat-Bulk).

Values from the calculation:
- energy relative to the elements (eV per atom) = 0.061
- E_tot (eV per atom) = -1.7911
- symmetry = I4/mmm, No. 139

```
data_Cd2Hg5Bi2Pb3
_chemical_formula_sum 'Cd2 Hg5 Bi2 Pb3'
_cell_length_a 17.518
_cell_length_b 17.518
_cell_length_c 17.518
_cell_angle_alpha 165.27
_cell_angle_beta 165.27
_cell_angle_gamma 20.89
_symmetry_space_group_name_H-M 'P 1'
_symmetry_Int_Tables_number 1
loop_
_symmetry_equiv_pos_as_xyz
'x,y,z'
loop_
_atom_site_label
_atom_site_fract_x
_atom_site_fract_y
_atom_site_fract_z
Cd1 0.135 0.135 0.000
Cd2 0.865 0.865 0.000
Hg1 0.000 0.000 0.000
Hg2 0.076 0.576 0.500
Hg3 0.424 0.924 0.500
Hg4 0.576 0.076 0.500
Hg5 0.924 0.424 0.500
Bi1 0.222 0.222 0.000
Bi2 0.778 0.778 0.000
Pb1 0.318 0.318 0.000
Pb2 0.500 0.500 0.000
Pb3 0.682 0.682 0.000
```

=====

No. 2
# CdHgBi2Pb5

An optimized crystal structure of CdHgBi2Pb5 (PBE, Alexandria via LeMat-Bulk).

Values from the calculation:
- energy relative to the elements (eV per atom) = 0.038
- E_tot (eV per atom) = -3.0199
- symmetry = Cmc2_1, No. 36

```
data_CdHgBi2Pb5
_chemical_formula_sum 'Cd2 Hg2 Bi4 Pb10'
_cell_length_a 9.638
_cell_length_b 9.638
_cell_length_c 13.575
_cell_angle_alpha 90.00
_cell_angle_beta 90.00
_cell_angle_gamma 153.58
_symmetry_space_group_name_H-M 'P 1'
_symmetry_Int_Tables_number 1
loop_
_symmetry_equiv_pos_as_xyz
'x,y,z'
loop_
_atom_site_label
_atom_site_fract_x
_atom_site_fract_y
_atom_site_fract_z
Cd1 0.197 0.803 0.500
Cd2 0.803 0.197 0.000
Hg1 0.402 0.598 0.927
Hg2 0.598 0.402 0.427
Bi1 0.031 0.969 0.819
Bi2 0.208 0.792 0.124
Bi3 0.792 0.208 0.624
Bi4 0.969 0.031 0.319
Pb1 0.011 0.989 0.555
Pb2 0.247 0.753 0.817
Pb3 0.369 0.631 0.448
Pb4 0.379 0.621 0.182
Pb5 0.414 0.586 0.698
Pb6 0.586 0.414 0.198
Pb7 0.621 0.379 0.682
Pb8 0.631 0.369 0.948
Pb9 0.753 0.247 0.317
Pb10 0.989 0.011 0.055
```

=====

No. 3
# CdHgBiPb

An optimized crystal structure of CdHgBiPb (PBE, Alexandria via LeMat-Bulk).

Values from the calculation:
- energy relative to the elements (eV per atom) = 0.030
- E_tot (eV per atom) = -2.1720
- symmetry = P4/nmm, No. 129

```
data_CdHgBiPb
_chemical_formula_sum 'Cd2 Hg2 Bi2 Pb2'
_cell_length_a 4.698
_cell_length_b 4.698
_cell_length_c 10.453
_cell_angle_alpha 90.00
_cell_angle_beta 90.00
_cell_angle_gamma 90.00
_symmetry_space_group_name_H-M 'P 1'
_symmetry_Int_Tables_number 1
loop_
_symmetry_equiv_pos_as_xyz
'x,y,z'
loop_
_atom_site_label
_atom_site_fract_x
_atom_site_fract_y
_atom_site_fract_z
Cd1 0.250 0.750 0.000
Cd2 0.750 0.250 0.000
Hg1 0.250 0.750 0.500
Hg2 0.750 0.250 0.500
Bi1 0.250 0.250 0.206
Bi2 0.750 0.750 0.794
Pb1 0.250 0.250 0.721
Pb2 0.750 0.750 0.279
```